No. 1
Computed, not measured: a geometry-optimized BaCoF structure at the PBE+U level of DFT.

Output
Raw total energy in eV per atom: -4.31
Magnetization in μB/atom: 0.656

Geometry as POSCAR:
```
BaCoF
1.0
7.007 -0.042 0.055
0.794 6.423 0.117
-1.372 1.594 3.830
F Ba Co
2 2 2
Cartesian
3.926 6.332 2.787 F
2.327 2.571 1.271 F
7.247 3.521 0.162 Ba
3.356 0.409 0.048 Ba
5.568 1.862 2.734 Co
0.477 6.811 1.337 Co
```

No. 2
Computed, not measured: a geometry-optimized BaCoF structure at the PBE+U level of DFT.

Output
Raw total energy in eV per atom: -3.53
Magnetization in μB/atom: 0.667

Geometry as POSCAR:
```
BaCoF
1.0
3.940 -2.275 0.000
0.000 4.549 0.000
0.000 0.000 8.177
Ba Co F
2 2 2
Cartesian
0.000 0.000 4.089 Ba
0.000 0.000 0.000 Ba
2.626 0.000 2.044 Co
1.313 2.275 6.133 Co
2.626 0.000 6.133 F
1.313 2.275 2.044 F
```

No. 3
Computed, not measured: a geometry-optimized BaCo3F structure at the PBE+U level of DFT.

Output
Raw total energy in eV per atom: -2.20
Magnetization in μB/atom: 1.384

Geometry as POSCAR:
```
BaCo3F
1.0
-4.839 -2.763 1.836
2.749 -1.522 4.955
-1.857 4.947 2.550
Co F Ba
3 1 1
Cartesian
-0.929 2.473 1.275 Co
1.375 -0.761 2.477 Co
-2.419 -1.382 0.918 Co
-1.973 0.331 4.670 F
0.000 0.000 0.000 Ba
```

No. 4
Computed, not measured: a geometry-optimized Ba3Co5F12 structure at the PBE+U level of DFT.

Output
Raw total energy in eV per atom: -5.00
Magnetization in μB/atom: 0.561

Geometry as POSCAR:
```
Ba3Co5F12
1.0
-3.295 -11.382 -2.213
11.522 0.233 3.534
-6.967 4.580 8.706
Ba Co F
12 20 48
Cartesian
-1.791 -5.338 2.766 Ba
3.052 -1.231 7.262 Ba
-3.627 2.643 8.225 Ba
3.257 -5.470 6.874 Ba
0.979 -7.877 0.754 Ba
4.888 -9.212 1.803 Ba
4.224 -2.978 3.556 Ba
-2.963 -3.592 6.472 Ba
0.282 1.307 9.274 Ba
-3.184 -8.786 0.682 Ba
4.445 2.216 9.346 Ba
-1.996 -1.099 3.153 Ba
6.281 -5.765 3.886 Co
5.761 0.117 1.767 Co
2.118 -6.674 3.814 Co
-0.907 -6.379 6.803 Co
2.278 2.406 6.120 Co
-3.483 2.290 4.353 Co
-4.357 -7.039 4.389 Co
8.387 -2.069 3.628 Co
2.167 -0.190 3.225 Co
0.630 -3.285 5.014 Co
0.000 0.000 0.000 Co
-1.647 -5.691 -1.106 Co
0.774 -3.638 1.142 Co
0.487 -2.932 8.886 Co
-5.131 -3.401 3.247 Co
-7.127 -4.500 6.400 Co
-0.857 0.104 6.214 Co
5.617 0.469 5.639 Co
4.114 -5.575 0.661 Co
-5.020 -0.805 6.142 Co
-0.957 -4.911 5.352 F
7.515 0.967 6.280 F
2.782 -7.680 5.490 F
-3.190 -6.140 0.536 F
2.333 -4.739 4.501 F
-1.563 -2.772 8.694 F
-0.899 -9.644 1.713 F
0.214 -7.174 3.192 F
-2.445 -5.695 7.998 F
-6.261 2.415 8.403 F
-1.100 -7.911 -0.888 F
1.047 0.604 6.836 F
2.405 -10.098 1.532 F
5.621 -4.775 2.199 F
2.824 -3.797 1.334 F
4.081 1.171 6.826 F
-0.235 -3.197 2.888 F
-2.820 -7.741 3.202 F
-1.072 -1.831 5.527 F
-0.197 -5.391 0.650 F
-1.145 3.528 8.496 F
-3.912 -5.024 4.323 F
1.496 -3.373 7.140 F
5.818 -7.776 3.958 F
-1.881 0.533 7.954 F
5.353 -4.603 5.318 F
1.458 -1.178 9.378 F
0.351 0.033 2.270 F
-6.255 -7.537 3.748 F
-8.104 -6.256 5.927 F
-3.232 -3.129 1.983 F
5.173 -1.545 5.705 F
2.217 -1.659 4.676 F
4.451 -0.430 9.492 F
2.361 1.342 10.916 F
9.364 -0.313 4.101 F
6.568 -1.830 2.683 F
-4.557 1.206 6.070 F
3.142 -7.103 2.074 F
-5.307 -4.740 7.345 F
3.706 -0.874 2.030 F
2.160 3.075 8.315 F
-1.521 1.110 4.538 F
0.910 -6.603 7.758 F
-4.360 -1.794 7.829 F
-4.092 -1.967 4.710 F
4.493 -3.441 8.045 F
7.522 -8.984 1.625 F
```

No. 5
Computed, not measured: a geometry-optimized BaCoF structure at the PBE+U level of DFT.

Output
Raw total energy in eV per atom: -4.21
Magnetization in μB/atom: 0.467

Geometry as POSCAR:
```
BaCoF
1.0
-4.711 -4.152 -1.214
4.055 -0.943 -4.855
3.162 -2.055 1.384
Ba F Co
2 2 2
Cartesian
-0.185 -5.957 -2.971 Ba
0.142 -3.409 0.064 Ba
-1.288 -3.364 -2.427 F
2.466 -2.345 -3.687 F
3.003 -2.116 1.273 Co
-2.718 -4.703 -1.146 Co
```

No. 6
Computed, not measured: a geometry-optimized Ba2CoF2 structure at the PBE+U level of DFT.

Output
Raw total energy in eV per atom: -4.08
Magnetization in μB/atom: 0.000

Geometry as POSCAR:
```
Ba2CoF2
1.0
-1.641 -2.750 4.536
5.299 -0.632 1.534
1.655 1.724 5.043
Ba F Co
2 2 1
Cartesian
4.391 -0.300 4.806 Ba
0.921 -1.359 6.307 Ba
3.572 -1.703 7.058 F
1.740 0.045 4.056 F
0.000 0.000 0.000 Co
```

No. 7
Computed, not measured: a geometry-optimized BaCoF structure at the PBE+U level of DFT.

Output
Raw total energy in eV per atom: -4.30
Magnetization in μB/atom: 0.570

Geometry as POSCAR:
```
BaCoF
1.0
4.163 -0.002 -0.001
-4.156 8.451 0.034
0.000 -0.910 3.782
Ba F Co
2 2 2
Cartesian
0.215 -0.179 3.494 Ba
-1.862 3.751 2.439 Ba
2.298 1.077 1.796 F
0.217 3.403 0.354 F
0.221 6.053 0.993 Co
-1.860 6.877 1.192 Co
```

No. 8
Computed, not measured: a geometry-optimized BaCoF structure at the PBE+U level of DFT.

Output
Raw total energy in eV per atom: -4.38
Magnetization in μB/atom: 0.667

Geometry as POSCAR:
```
BaCoF
1.0
8.547 0.000 0.000
0.000 4.524 0.000
0.000 0.000 7.634
Co Ba F
4 4 4
Cartesian
8.319 3.393 4.261 Co
4.502 1.131 0.444 Co
4.045 3.393 7.189 Co
0.229 1.131 3.372 Co
7.093 3.393 1.146 Ba
5.728 1.131 4.963 Ba
2.819 3.393 2.671 Ba
1.454 1.131 6.487 Ba
3.135 1.131 4.171 F
7.409 1.131 7.279 F
1.139 3.393 0.354 F
5.413 3.393 3.462 F
```

No. 9
Computed, not measured: a geometry-optimized BaCoF structure at the PBE+U level of DFT.

Output
Raw total energy in eV per atom: -4.39
Magnetization in μB/atom: 0.559

Geometry as POSCAR:
```
BaCoF
1.0
-8.374 3.244 -2.998
-0.353 -4.049 0.327
-1.752 1.854 3.181
F Co Ba
2 2 2
Cartesian
-3.081 0.748 0.179 F
-5.610 -0.306 1.074 F
-8.278 3.525 -1.200 Co
-9.155 1.688 0.197 Co
-3.429 0.347 2.792 Ba
-5.613 1.561 -0.832 Ba
```

No. 10
Computed, not measured: a geometry-optimized BaCo3F structure at the PBE+U level of DFT.

Output
Raw total energy in eV per atom: -3.42
Magnetization in μB/atom: 0.996

Geometry as POSCAR:
```
BaCo3F
1.0
4.594 0.000 0.000
0.000 4.594 0.000
0.000 0.000 4.594
Ba Co F
1 3 1
Cartesian
2.297 2.297 2.297 Ba
2.297 0.000 0.000 Co
0.000 0.000 2.297 Co
0.000 2.297 0.000 Co
0.000 0.000 0.000 F
```

No. 11
Computed, not measured: a geometry-optimized BaCoF structure at the PBE+U level of DFT.

Output
Raw total energy in eV per atom: -4.37
Magnetization in μB/atom: 0.462

Geometry as POSCAR:
```
BaCoF
1.0
-3.217 1.568 2.132
3.139 -1.843 2.028
2.091 8.996 0.630
Ba Co F
2 2 2
Cartesian
0.945 0.601 2.816 Ba
0.675 5.172 3.111 Ba
-0.274 8.499 3.311 Co
0.846 8.113 1.217 Co
2.286 3.086 3.006 F
-0.666 2.687 2.922 F
```

No. 12
Computed, not measured: a geometry-optimized BaCoF structure at the PBE+U level of DFT.

Output
Raw total energy in eV per atom: -4.28
Magnetization in μB/atom: 0.672

Geometry as POSCAR:
```
BaCoF
1.0
3.940 0.000 0.000
0.000 3.940 0.000
0.000 0.000 9.224
Co Ba F
2 2 2
Cartesian
0.000 1.970 0.261 Co
1.970 0.000 8.963 Co
1.970 0.000 2.886 Ba
0.000 1.970 6.338 Ba
0.000 0.000 4.612 F
1.970 1.970 4.612 F
```

What did we get for density of states at the Fermi level? Answer: 1.37, 13.60, 4.56, 34.17, 3.57, 2.31, 2.64, 0.41, 3.19, 1.99, 5.26, 0.99 states/eV per cell, in the order shown.